DFT (GGA-PBE) results for a relaxed LaCdTe2 crystal.

Summary:
N(E_F) (states/eV per cell): 1.13
Formation energy (no corrections) (eV/f.u.): -3.9
Space-group type: P4/mmm (123)
Volume (A^3/atom): 33.3

a b c (Å): 4.492 4.492 6.601
angles (deg): 90.00 90.00 90.00
Atoms (fractional coordinates):
La  0.500  0.500  0.875
Te  0.500  0.500  0.375
Te  0.000  0.000  0.875
Cd  0.000  0.000  0.375